# 1
Here is CeLuCuPb after structural relaxation from Alexandria via LeMat-Bulk. Energies are from PBE.

Cell lengths 7.3965, 7.3965, 7.3965 Å; angles 90.00, 90.00, 90.00 degrees
Space group F-43m (No. 216)
One atom of each set of equivalent atoms:
Ce 0.0000 0.0000 0.0000 x4
Lu 0.0000 0.0000 0.5000 x4
Cu 0.2500 0.2500 0.2500 x4
Pb 0.2500 0.2500 0.7500 x4

Properties
The formation energy comes out at -0.1894 eV per atom.



# 2
Here is CeLuCuPt after structural relaxation from Alexandria via LeMat-Bulk. Energies are from PBE.

Cell lengths 6.9852, 6.9852, 6.9852 Å; angles 90.00, 90.00, 90.00 degrees
Space group F-43m (No. 216)
One atom of each set of equivalent atoms:
Ce 0.0000 0.0000 0.0000 x4
Lu 0.0000 0.0000 0.5000 x4
Cu 0.2500 0.2500 0.2500 x4
Pt 0.2500 0.2500 0.7500 x4

Properties
The formation energy comes out at -0.6651 eV per atom.



# 3
Here is CeLuCuSi after structural relaxation from Alexandria via LeMat-Bulk. Energies are from PBE.

Cell lengths 6.9655, 6.9655, 6.9655 Å; angles 90.00, 90.00, 90.00 degrees
Space group F-43m (No. 216)
One atom of each set of equivalent atoms:
Ce 0.0000 0.0000 0.0000 x4
Lu 0.0000 0.0000 0.5000 x4
Cu 0.2500 0.2500 0.7500 x4
Si 0.2500 0.2500 0.2500 x4

Properties
The value obtained for the energy relative to the elements, uncorrected is -357 meV per atom.



# 4
Here is CeLuCuSn after structural relaxation from Alexandria via LeMat-Bulk. Energies are from PBE.

Cell lengths 7.3075, 7.3075, 7.3075 Å; angles 90.00, 90.00, 90.00 degrees
Space group F-43m (No. 216)
One atom of each set of equivalent atoms:
Ce 0.0000 0.0000 0.0000 x4
Lu 0.0000 0.0000 0.5000 x4
Cu 0.2500 0.2500 0.2500 x4
Sn 0.2500 0.2500 0.7500 x4

Properties
The formation energy comes out at -0.3263 eV per atom.



# 5
Here is CeLuZnCu after structural relaxation from Alexandria via LeMat-Bulk. Energies are from PBE.

Cell lengths 7.0458, 7.0458, 7.0458 Å; angles 90.00, 90.00, 90.00 degrees
Space group F-43m (No. 216)
One atom of each set of equivalent atoms:
Ce 0.0000 0.0000 0.0000 x4
Lu 0.0000 0.0000 0.5000 x4
Zn 0.2500 0.2500 0.2500 x4
Cu 0.2500 0.2500 0.7500 x4

Properties
The formation energy comes out at -0.1908 eV per atom.



# 6
Here is CeMgCu after structural relaxation from Alexandria via LeMat-Bulk. Energies are from PBE.

Cell lengths 4.8027, 4.8027, 3.2512 Å; angles 90.00, 90.00, 120.00 degrees
Space group P-6m2 (No. 187)
One atom of each set of equivalent atoms:
Ce 0.0000 0.0000 0.0000 x1
Mg 0.3333 0.6667 0.5000 x1
Cu 0.6667 0.3333 0.5000 x1

Properties
The formation energy comes out at 0.0160 eV per atom.



# 7
Here is CeMgCu after structural relaxation from Alexandria via LeMat-Bulk. Energies are from PBE.

Cell lengths 12.8375, 3.0411, 6.4298 Å; angles 90.00, 102.25, 90.00 degrees
Space group C2/m (No. 12)
One atom of each set of equivalent atoms:
Ce 0.0139 0.0000 0.2892 x4
Mg 0.2091 0.5000 0.6641 x4
Cu 0.1634 0.5000 0.0468 x4

Properties
The formation energy comes out at 0.0066 eV per atom.



# 8
Here is CeMgCu5 after structural relaxation from Alexandria via LeMat-Bulk. Energies are from PBE.

Cell lengths 8.2890, 5.0677, 10.5090 Å; angles 90.00, 90.00, 90.00 degrees
Space group Pnma (No. 62)
One atom of each set of equivalent atoms:
Ce 0.2483 0.2500 0.0613 x4
Mg 0.1373 0.7500 0.8628 x4
Cu 0.0550 0.7500 0.1061 x4
Cu 0.0689 0.0029 0.3123 x8
Cu 0.0875 0.2500 0.5161 x4
Cu 0.1828 0.2500 0.7449 x4

Properties
The formation energy comes out at -0.1629 eV per atom.